Model w:
{
  "formula": "AcSn6Se8",
  "functional": "GGA-PBE",
  "state": "optimized geometry",
  "cell": [[-0.483, -0.093, 4.547], [-9.177, -5.246, -1.082], [9.124, -5.377, 0.858]],
  "species": ["Ac", "Sn", "Sn", "Sn", "Sn", "Sn", "Sn", "Se", "Se", "Se", "Se", "Se", "Se", "Se", "Se"],
  "fractional_positions": [[0.500, 0.000, 0.000], [0.668, 0.673, 0.125], [0.668, 0.875, 0.548], [0.668, 0.452, 0.327], [0.332, 0.327, 0.875], [0.332, 0.125, 0.452], [0.332, 0.548, 0.673], [0.776, 0.967, 0.256], [0.776, 0.744, 0.711], [0.776, 0.289, 0.033], [0.224, 0.033, 0.744], [0.224, 0.256, 0.289], [0.224, 0.711, 0.967], [0.729, 0.333, 0.667], [0.271, 0.667, 0.333]],
  "vol_a3_per_atom": 29.82
}

Model x:
{
  "formula": "AcSn6Se8",
  "functional": "GGA-PBE",
  "state": "optimized geometry",
  "cell": [[-1.284, -7.531, -1.193], [5.106, -0.183, -5.804], [5.731, -1.970, 4.803]],
  "species": ["Ac", "Sn", "Sn", "Sn", "Sn", "Sn", "Sn", "Se", "Se", "Se", "Se", "Se", "Se", "Se", "Se"],
  "fractional_positions": [[0.000, 0.000, 0.000], [0.643, 0.407, 0.801], [0.407, 0.801, 0.643], [0.801, 0.643, 0.407], [0.357, 0.593, 0.199], [0.593, 0.199, 0.357], [0.199, 0.357, 0.593], [0.755, 0.755, 0.755], [0.245, 0.245, 0.245], [0.642, 0.893, 0.199], [0.893, 0.199, 0.642], [0.199, 0.642, 0.893], [0.358, 0.107, 0.801], [0.107, 0.801, 0.358], [0.801, 0.358, 0.107]],
  "vol_a3_per_atom": 30.78
}

Which one is most stable, and which one is least stable? model w is the most stable of them, while model x is the least stable.

Model w:
{
  "formula": "Ac2TbSe4",
  "functional": "GGA-PBE",
  "state": "optimized geometry",
  "cell": [[4.144, 0.000, 0.000], [-2.072, 7.384, 0.000], [0.000, 0.000, 14.471]],
  "species": ["Ac", "Ac", "Ac", "Ac", "Tb", "Tb", "Se", "Se", "Se", "Se", "Se", "Se", "Se", "Se"],
  "fractional_positions": [[0.131, 0.262, 0.424], [0.869, 0.738, 0.924], [0.131, 0.262, 0.076], [0.869, 0.738, 0.576], [0.629, 0.258, 0.750], [0.371, 0.742, 0.250], [0.784, 0.568, 0.128], [0.784, 0.568, 0.372], [0.216, 0.432, 0.872], [0.216, 0.432, 0.628], [0.989, 0.979, 0.750], [0.011, 0.021, 0.250], [0.500, 0.000, 0.000], [0.500, 0.000, 0.500]],
  "vol_a3_per_atom": 31.63
}

Model x:
{
  "formula": "Ac2TbSe4",
  "functional": "GGA-PBE",
  "state": "optimized geometry",
  "cell": [[4.005, 0.000, 1.083], [1.404, 6.577, 2.755], [-0.041, -0.147, 8.095]],
  "species": ["Ac", "Ac", "Tb", "Se", "Se", "Se", "Se"],
  "fractional_positions": [[0.353, 0.593, 0.702], [0.647, 0.407, 0.298], [0.000, 0.000, 0.000], [0.057, 0.253, 0.632], [0.943, 0.747, 0.368], [0.337, 0.248, 0.079], [0.663, 0.752, 0.921]],
  "vol_a3_per_atom": 30.70
}

Which one is most stable, and which one is least stable? model x is the most stable of them, while model w is the least stable.

Model w:
{
  "formula": "AcTbSe2",
  "functional": "GGA-PBE",
  "state": "optimized geometry",
  "cell": [[5.252, 0.000, 0.000], [2.626, 4.548, 0.000], [2.626, 1.516, 4.288]],
  "species": ["Ac", "Tb", "Se", "Se"],
  "fractional_positions": [[0.500, 0.500, 0.500], [0.000, 0.000, 0.000], [0.250, 0.250, 0.250], [0.750, 0.750, 0.750]],
  "vol_a3_per_atom": 25.60
}

Model x:
{
  "formula": "AcTbSe2",
  "functional": "GGA-PBE",
  "state": "optimized geometry",
  "cell": [[4.196, 0.000, 0.000], [2.098, 3.634, 0.000], [2.098, 1.211, 7.269]],
  "species": ["Ac", "Tb", "Se", "Se"],
  "fractional_positions": [[0.000, 0.000, 0.000], [0.500, 0.500, 0.500], [0.760, 0.760, 0.721], [0.240, 0.240, 0.279]],
  "vol_a3_per_atom": 27.71
}

Which one is most stable, and which one is least stable? model x is the most stable of them, while model w is the least stable.

Model w:
{
  "formula": "AcTbSe2",
  "functional": "GGA-PBE",
  "state": "optimized geometry",
  "cell": [[4.160, 0.000, 0.000], [2.080, 3.603, 0.000], [2.080, 1.201, 7.532]],
  "species": ["Ac", "Tb", "Se", "Se"],
  "fractional_positions": [[0.496, 0.496, 0.513], [0.671, 0.671, 0.986], [0.073, 0.073, 0.780], [0.260, 0.260, 0.221]],
  "vol_a3_per_atom": 28.23
}

Model x:
{
  "formula": "AcTbSe2",
  "functional": "GGA-PBE",
  "state": "optimized geometry",
  "cell": [[4.460, 0.000, -0.001], [0.000, 6.864, 0.000], [0.001, 0.000, 9.554]],
  "species": ["Ac", "Ac", "Tb", "Tb", "Se", "Se", "Se", "Se"],
  "fractional_positions": [[0.201, 0.927, 0.701], [0.701, 0.427, 0.515], [0.201, 0.803, 0.257], [0.701, 0.303, 0.959], [0.701, 0.569, 0.195], [0.701, 0.635, 0.794], [0.201, 0.135, 0.422], [0.201, 0.069, 0.021]],
  "vol_a3_per_atom": 36.56
}

Which one is most stable, and which one is least stable? model w is the most stable of them, while model x is the least stable.